DFT (PBE-GGA) results for DyCuSnTe3 after structural relaxation.

Geometry as POSCAR:
```
DyCuSnTe3
1.0
11.180 0.000 0.000
0.000 4.264 0.000
0.000 0.000 14.463
Cu Dy Sn Te
4 4 4 12
Direct
0.741 0.250 0.223 Cu
0.241 0.250 0.277 Cu
0.759 0.750 0.723 Cu
0.259 0.750 0.777 Cu
0.977 0.750 0.242 Dy
0.477 0.750 0.258 Dy
0.523 0.250 0.742 Dy
0.023 0.250 0.758 Dy
0.715 0.750 0.009 Sn
0.215 0.750 0.491 Sn
0.785 0.250 0.509 Sn
0.285 0.250 0.991 Sn
0.911 0.250 0.099 Te
0.546 0.250 0.110 Te
0.233 0.750 0.163 Te
0.733 0.750 0.337 Te
0.046 0.250 0.390 Te
0.411 0.250 0.401 Te
0.589 0.750 0.599 Te
0.954 0.750 0.610 Te
0.267 0.250 0.663 Te
0.767 0.250 0.837 Te
0.454 0.750 0.890 Te
0.089 0.750 0.901 Te
```

Computed properties:
Its crystal system is orthorhombic. The volume is 689.5 Å³ per cell. The relative energy among the computed polymorphs comes out at 0.000 eV/atom.

DFT (PBE-GGA) results for NaCu3SnS4 after structural relaxation.

Geometry as POSCAR:
```
NaCu3SnS4
1.0
-3.807 -2.391 -3.338
4.802 0.276 -5.675
4.365 -7.411 3.334
Cu Na S Sn
6 2 8 2
Direct
0.300 0.569 0.027 Cu
0.300 0.931 0.027 Cu
0.403 0.750 0.275 Cu
0.597 0.250 0.725 Cu
0.700 0.069 0.973 Cu
0.700 0.431 0.973 Cu
0.216 0.250 0.375 Na
0.784 0.750 0.625 Na
0.035 0.250 0.028 S
0.602 0.016 0.219 S
0.602 0.484 0.219 S
0.171 0.750 0.447 S
0.829 0.250 0.553 S
0.398 0.516 0.781 S
0.398 0.984 0.781 S
0.965 0.750 0.972 S
0.872 0.750 0.223 Sn
0.128 0.250 0.777 Sn
```

Computed properties:
Its crystal system is monoclinic. The volume is 376.9 Å³ per cell. The relative energy among the computed polymorphs comes out at 0.000 eV/atom.

DFT (PBE-GGA) results for HfCoBiMo after structural relaxation.

Geometry as POSCAR:
```
HfCoBiMo
1.0
3.125 -3.194 1.220
-0.749 -4.465 -0.979
2.537 -2.116 -3.246
Bi Co Hf Mo
1 1 1 1
Direct
0.000 0.000 0.000 Bi
0.750 0.750 0.750 Co
0.500 0.500 0.500 Hf
0.250 0.250 0.250 Mo
```

Computed properties:
Its crystal system is cubic. The volume is 70.3 Å³ per cell. The relative energy among the computed polymorphs comes out at 0.000 eV/atom.

DFT (PBE-GGA) results for Zr2Cu3W4C3 after structural relaxation.

Geometry as POSCAR:
```
Zr2Cu3W4C3
1.0
4.645 -2.682 0.000
4.645 2.682 0.000
-3.230 0.000 13.222
C Cu W Zr
6 6 8 4
Direct
0.500 0.000 0.000 C
0.832 0.334 0.000 C
0.168 0.666 0.000 C
0.334 0.832 0.500 C
0.000 0.500 0.500 C
0.666 0.168 0.500 C
0.103 0.413 0.248 Cu
0.070 0.930 0.250 Cu
0.587 0.897 0.252 Cu
0.413 0.103 0.748 Cu
0.930 0.070 0.750 Cu
0.897 0.587 0.752 Cu
0.206 0.018 0.083 W
0.852 0.695 0.083 W
0.305 0.148 0.417 W
0.982 0.794 0.417 W
0.018 0.206 0.583 W
0.695 0.852 0.583 W
0.148 0.305 0.917 W
0.794 0.982 0.917 W
0.541 0.379 0.116 Zr
0.621 0.459 0.384 Zr
0.379 0.541 0.616 Zr
0.459 0.621 0.884 Zr
```

Computed properties:
The final energy comes out at -109.7 eV/f.u. Its crystal system is monoclinic. The volume is 329.4 Å³ per cell.

DFT (PBE-GGA) results for Ni7As after structural relaxation.

Geometry as POSCAR:
```
Ni7As
1.0
-0.203 -1.349 -2.206
2.434 -0.846 0.293
-12.970 -30.459 19.814
As Ni
2 14
Direct
0.500 0.500 0.180 As
0.000 0.000 0.820 As
0.000 0.000 0.223 Ni
0.500 0.500 0.267 Ni
0.000 0.000 0.310 Ni
0.500 0.500 0.352 Ni
0.000 0.000 0.394 Ni
0.500 0.500 0.436 Ni
0.000 0.000 0.479 Ni
0.500 0.500 0.521 Ni
0.000 0.000 0.564 Ni
0.500 0.500 0.606 Ni
0.000 0.000 0.648 Ni
0.500 0.500 0.690 Ni
0.000 0.000 0.733 Ni
0.500 0.500 0.777 Ni
```

Computed properties:
Its crystal system is tetragonal. The volume is 259.5 Å³ per cell. The relative energy among the computed polymorphs comes out at 0.026 eV/atom.

DFT (PBE-GGA) results for Rb2UCl6 after structural relaxation.

Geometry as POSCAR:
```
Rb2UCl6
1.0
6.425 -3.697 0.000
6.425 3.697 0.000
-0.044 0.000 6.011
Cl Rb U
6 2 1
Direct
0.659 0.171 0.240 Cl
0.171 0.659 0.240 Cl
0.171 0.171 0.244 Cl
0.829 0.829 0.756 Cl
0.829 0.341 0.760 Cl
0.341 0.829 0.760 Cl
0.668 0.668 0.260 Rb
0.332 0.332 0.740 Rb
0.000 0.000 0.000 U
```

Computed properties:
The final energy comes out at -41.3 eV/f.u. Its crystal system is monoclinic. The volume is 285.6 Å³ per cell.

DFT (PBE-GGA) results for Cd2MoOs after structural relaxation.

Geometry as POSCAR:
```
Cd2MoOs
1.0
0.000 3.245 3.245
3.245 0.000 3.245
3.245 3.245 0.000
Cd Mo Os
2 1 1
Direct
0.250 0.250 0.250 Cd
0.500 0.500 0.500 Cd
0.750 0.750 0.750 Mo
0.000 0.000 0.000 Os
```

Computed properties:
Its crystal system is cubic. The volume is 68.3 Å³ per cell. Its formation energy is 50.6 kJ per mole of atoms.

DFT (PBE-GGA) results for LaNdGe4Pt2 after structural relaxation.

Geometry as POSCAR:
```
LaNdGe4Pt2
1.0
-2.333 -3.769 -0.465
7.147 -4.734 2.517
5.030 -3.888 6.277
Ge La Nd Pt
4 1 1 2
Direct
0.500 0.036 0.036 Ge
0.000 0.249 0.249 Ge
0.500 0.750 0.750 Ge
0.000 0.965 0.965 Ge
0.500 0.392 0.392 La
0.000 0.608 0.608 Nd
0.500 0.178 0.178 Pt
0.000 0.822 0.822 Pt
```

Computed properties:
The final energy comes out at -47.6 eV/f.u. Its crystal system is orthorhombic. The volume is 169.7 Å³ per cell.